(A)
Cs4Au3F | PBE-GGA | relaxed

- Fermi-level density of states: 0.000 states/eV/f.u.

Cell lengths 10.097, 14.156, 5.030 Å; angles 90.00, 90.00, 90.00 degrees
Space group Cmmm (No. 65)
Symmetry-distinct sites (fractional):
Cs 0.000 0.219 0.000 (multiplicity 4)
Cs 0.229 0.000 0.500 (multiplicity 4)
Au 0.000 0.500 0.000 (multiplicity 2)
Au 0.250 0.250 0.500 (multiplicity 4)
F 0.000 0.000 0.000 (multiplicity 2)

---

(B)
Cs4Au3F | PBE-GGA | relaxed

- Fermi-level density of states: 0.000 states/eV/f.u.

Cell lengths 14.095, 7.327, 7.326 Å; angles 90.00, 90.00, 90.00 degrees
Space group Pmn2_1 (No. 31)
Symmetry-distinct sites (fractional):
Cs 0.000 0.191 0.000 (multiplicity 2)
Cs 0.000 0.750 0.558 (multiplicity 2)
Cs 0.213 0.748 0.002 (multiplicity 4)
Au 0.000 0.251 0.499 (multiplicity 2)
Au 0.250 0.251 0.999 (multiplicity 4)
F 0.000 0.804 0.945 (multiplicity 2)

---

Which structure loses on stability? (A) does.

---

(A)
CsRbGeAuF | PBE-GGA | relaxed

- Fermi-level density of states: 2.565 states/eV/f.u.

Cell lengths 4.3637, 4.3637, 27.7872 Å; angles 90.00, 90.00, 120.00 degrees
Space group R3m (No. 160, hexagonal axes)
Symmetry-distinct sites (fractional):
Cs 0.0000 0.0000 0.0000 (multiplicity 3)
Rb 0.0000 0.0000 0.7867 (multiplicity 3)
Ge 0.0000 0.0000 0.2229 (multiplicity 3)
Au 0.0000 0.0000 0.5561 (multiplicity 3)
F 0.0000 0.0000 0.3952 (multiplicity 3)

---

(B)
CsRbGeAuF | PBE-GGA | relaxed

- Fermi-level density of states: 1.391 states/eV/f.u.

Cell lengths 3.620, 3.892, 10.181 Å; angles 90.00, 99.46, 90.00 degrees
Space group Pm (No. 6)
Symmetry-distinct sites (fractional):
Cs 0.000 0.000 0.000 (multiplicity 1)
Rb 0.163 0.500 0.356 (multiplicity 1)
Ge 0.793 0.000 0.627 (multiplicity 1)
Au 0.330 0.500 0.697 (multiplicity 1)
F 0.567 0.500 0.147 (multiplicity 1)

---

(C)
CsRbGeAuF | PBE-GGA | relaxed

- Fermi-level density of states: 0.766 states/eV/f.u.

Cell lengths 4.572, 6.327, 6.794 Å; angles 62.83, 70.41, 89.89 degrees
Space group P1 (No. 1)
Symmetry-distinct sites (fractional):
Cs 0.000 0.000 0.000 (multiplicity 1)
Rb 0.179 0.697 0.644 (multiplicity 1)
Ge 0.789 0.331 0.420 (multiplicity 1)
Au 0.370 0.342 0.258 (multiplicity 1)
F 0.658 0.963 0.684 (multiplicity 1)

---

Which structure loses on stability? (C) does.